# MgCuOsBr2

A crystal of MgCuOsBr2 relaxed with PBEsol (meta-GGA SCAN, Alexandria via LeMat-Bulk).

a = 4.830 Å, b = 4.830 Å, c = 5.273 Å
α = 90.00°, β = 90.00°, γ = 90.00°
Fractional coordinates of all 5 atoms:
Cu (0.500, 0.500, 0.500)
Br (0.500, 0.000, 0.000)
Br (0.000, 0.500, 0.000)
Os (0.000, 0.000, 0.000)
Mg (0.000, 0.000, 0.500)

raw formation energy = 0.981 eV/atom
SG = No. 123
spin magnetization = 1.225 μB per formula unit
energy = -25.214 eV per atom